1.
# CdNi, relaxed, DFT PBE-GGA
data_CdNi
_chemical_formula_sum 'Cd1 Ni1'
_cell_length_a 2.8996
_cell_length_b 2.8996
_cell_length_c 4.3127
_cell_angle_alpha 90.00
_cell_angle_beta 90.00
_cell_angle_gamma 120.00
_symmetry_space_group_name_H-M 'P -6 m 2'
_symmetry_Int_Tables_number 187
_symmetry_space_group_name_Hall 'P -6 2'
loop_
_atom_site_label
_atom_site_fract_x
_atom_site_fract_y
_atom_site_fract_z
Cd1 0.0000 0.0000 0.0000
Ni1 0.3333 0.6667 0.5000
# **E_form**: 200 meV per atom

***

2.
# Na4Hf3FeS8, relaxed, DFT PBE-GGA
data_Na4Hf3FeS8
_chemical_formula_sum 'Na12 Hf9 Fe3 S24'
_cell_length_a 7.3315
_cell_length_b 7.3315
_cell_length_c 20.1722
_cell_angle_alpha 90.00
_cell_angle_beta 90.00
_cell_angle_gamma 120.00
_symmetry_space_group_name_H-M 'R -3 m'
_symmetry_Int_Tables_number 166
_symmetry_space_group_name_Hall '-R 3 2"'
loop_
_atom_site_label
_atom_site_fract_x
_atom_site_fract_y
_atom_site_fract_z
Na1 0.0000 0.0000 0.0000
Na2 0.0000 0.5000 0.0000
Hf1 0.0000 0.5000 0.5000
Fe1 0.0000 0.0000 0.5000
S1 0.0000 0.0000 0.2405
S2 0.0018 0.5009 0.2386
# **Formation energy without anion corrections**: -20.81 eV/f.u.

***

Number 1: total moment 0.2 μB/cell. Number 2: total moment 10.3 μB/cell.